Record 1
A relaxed structure of TbCdGa, computed with PBE.

abc: 3.613 4.667 4.667
angles: 120.00 90.00 90.00
Sites, in units of the cell vectors:
Tb 0.667 0.667 0.333
Ga 0.167 0.000 0.000
Cd 0.167 0.333 0.667

Values from the calculation:
M_tot: 0.000 μB/f.u.
Volume: 68 Å³/cell

Record 2
A relaxed structure of SrCo2Ge2, computed with PBE.

abc: 7.485 7.485 2.894
angles: 90.00 90.00 90.00
Site moments in Bohr magnetons follow the coordinates.
Sites, in units of the cell vectors:
Ge 0.648 0.852 0.500  0.00
Ge 0.148 0.648 0.500  0.00
Ge 0.852 0.352 0.500  0.00
Ge 0.352 0.148 0.500  0.00
Sr 0.000 0.000 0.000  0.00
Sr 0.500 0.500 0.000  0.00
Co 0.872 0.628 0.000  0.64
Co 0.128 0.372 0.000  0.64
Co 0.372 0.872 0.000  0.62
Co 0.628 0.128 0.000  0.62

Values from the calculation:
M_tot: 1.256 μB/f.u.
Volume: 162 Å³/cell

no.,ρ (g cm⁻³),VASP energy (eV for the cell shown)
1,8.31,-9.95
2,7.18,-50.14